Computed, not measured: a geometry-optimized TlInAg2 structure at the PBE level of DFT.

a b c (Å): 5.8278 5.8278 5.3679
angles (deg): 73.41 73.41 30.97
Positions (direct):
Ag (0.0243, 0.0243, 0.0404)
Ag (0.7288, 0.7288, 0.7048)
Tl (0.2677, 0.2677, 0.1892)
In (0.4793, 0.4793, 0.5655)

Results
As for the magnetic moment: 0.0 μB/cell. The density of states at the Fermi level comes out at 0.47 states/eV per atom. The crystal system is monoclinic. Its energy relative to the elements is 0.079 eV per atom.

***

Computed, not measured: a geometry-optimized Pm2Y9Er structure at the PBE level of DFT.

a b c (Å): 5.0626 5.0626 15.1855
angles (deg): 90.00 90.00 90.00
Positions (direct):
Pm (0.0000, 0.0000, 0.6673)
Pm (0.0000, 0.0000, 0.3327)
Y (0.0000, 0.5000, 0.8352)
Y (0.5000, 0.0000, 0.8352)
Y (0.5000, 0.0000, 0.5000)
Y (0.5000, 0.5000, 0.0000)
Y (0.5000, 0.5000, 0.3320)
Y (0.0000, 0.5000, 0.5000)
Y (0.5000, 0.0000, 0.1648)
Y (0.0000, 0.5000, 0.1648)
Y (0.5000, 0.5000, 0.6680)
Er (0.0000, 0.0000, 0.0000)

Results
As for the magnetic moment: 0.0 μB/cell. The density of states at the Fermi level comes out at 1.52 states/eV per atom. The crystal system is tetragonal. Its energy relative to the elements is 0.024 eV per atom.

***

Computed, not measured: a geometry-optimized ZrHS3 structure at the PBE level of DFT.

a b c (Å): 5.0031 5.0031 5.0031
angles (deg): 90.00 90.00 90.00
Positions (direct):
H (0.5000, 0.5000, 0.5000)
S (0.0000, 0.5000, 0.0000)
S (0.5000, 0.0000, 0.0000)
S (0.0000, 0.0000, 0.5000)
Zr (0.0000, 0.0000, 0.0000)

Results
As for the magnetic moment: 0.7 μB/cell. For the energy relative to the lowest polymorph listed for this composition, the calculation gives 0 meV/atom. The density of states at the Fermi level comes out at 1.22 states/eV per atom. The crystal system is cubic.

***

Computed, not measured: a geometry-optimized Sm3ZnSe2 structure at the PBE level of DFT.

a b c (Å): 4.0940 5.9308 7.3835
angles (deg): 113.68 106.10 90.00
Positions (direct):
Sm (0.0000, 0.0000, 0.0000)
Sm (0.3300, 0.3300, 0.6599)
Sm (0.6700, 0.6700, 0.3401)
Zn (0.0000, 0.5000, 0.0000)
Se (0.6661, 0.1661, 0.3322)
Se (0.3339, 0.8339, 0.6678)

Results
As for the magnetic moment: 0.0 μB/cell. The density of states at the Fermi level comes out at 0.60 states/eV per atom. The crystal system is orthorhombic. Its formation energy without anion corrections is -1318 meV/atom.

***

no.,VASP energy (eV/atom)
1,-2.6225
2,-5.9959
3,-4.8093
4,-5.0518